[1]
The following is a GGA-PBE calculation of a relaxed structure of CeAg2Cl6, from Alexandria via LeMat-Bulk.

Cell and atoms, written as POSCAR:
```
CeAg2Cl6
1.0
6.7263 0.0000 -0.6315
0.0000 6.8194 0.0000
0.6123 0.0000 11.9957
Ag Cl Ce
4 12 2
direct
0.4222 0.8483 0.3425
0.5778 0.1517 0.6575
0.0778 0.3483 0.1575
0.9222 0.6517 0.8425
0.2804 0.6781 0.1542
0.2196 0.1781 0.3458
0.7929 0.8271 0.3362
0.2071 0.1729 0.6638
0.7448 0.8007 0.0070
0.7804 0.8219 0.6542
0.2552 0.1993 0.9930
0.7552 0.3007 0.4930
0.7196 0.3219 0.8458
0.7071 0.3271 0.1638
0.2929 0.6729 0.8362
0.2448 0.6993 0.5070
0.0000 0.0000 0.5000
0.5000 0.5000 0.0000
```

Output
The value obtained for the total energy is -68.53 eV/cell. The value obtained for the energy relative to the elements, uncorrected is -1.283 eV per atom. As for the energy above the lowest structure with this stoichiometry: 0.0000 eV per atom.

[2]
The following is a GGA-PBE calculation of a relaxed structure of TiNb2Ir3, from Alexandria via LeMat-Bulk.

Cell and atoms, written as POSCAR:
```
TiNb2Ir3
1.0
-0.7415 3.8700 -1.1434
1.1592 0.5155 -6.3682
-7.1551 -1.7988 -1.4480
Ir Ti Nb
6 2 4
direct
0.8326 0.3348 0.2357
0.8326 0.3348 0.7643
0.5000 0.0000 0.2383
0.1674 0.6652 0.2357
0.1674 0.6652 0.7643
0.5000 0.0000 0.7617
0.3312 0.3377 0.0000
0.6688 0.6623 0.0000
0.0000 0.0000 0.5000
0.3335 0.3330 0.5000
0.6665 0.6670 0.5000
0.0000 0.0000 0.0000
```

Output
The value obtained for the total energy is -116.59 eV/cell. The value obtained for the energy of formation from the pure elements is -0.6133 eV/atom. Its density of states at the Fermi level is 10.7 states/eV per cell.

[3]
The following is a GGA-PBE calculation of a relaxed structure of KRbBa2Sb, from Alexandria via LeMat-Bulk.

Cell and atoms, written as POSCAR:
```
KRbBa2Sb
1.0
-5.1163 4.4307 -0.9775
-2.0641 -3.5849 -5.4452
-4.1867 -3.9156 4.1649
K Rb Ba Sb
1 1 2 1
direct
0.0000 0.0000 0.5000
0.5000 0.5000 0.5000
0.5000 0.0000 0.0000
0.0000 0.5000 0.0000
0.0000 0.0000 0.0000
```

Output
The value obtained for the total energy is -11.73 eV/cell. The value obtained for the energy relative to the elements, uncorrected is -0.340 eV per atom. Its density of states at the Fermi level is 4.1 states/eV per cell. As for the energy above the lowest structure with this stoichiometry: 0.0000 eV per atom.

[4]
The following is a GGA-PBE calculation of a relaxed structure of Er2Mn17C3, from Alexandria via LeMat-Bulk.

Cell and atoms, written as POSCAR:
```
Er2Mn17C3
1.0
-3.3050 -4.2329 -6.5846
4.8951 -4.0597 5.6351
-6.7045 -1.8036 4.5247
Er Mn C
4 34 6
direct
0.3333 0.6667 0.2500
0.0000 0.0000 0.2500
0.6667 0.3333 0.7500
0.0000 0.0000 0.7500
0.8326 0.1674 0.5243
0.6667 0.3333 0.3934
0.1674 0.8326 0.4757
0.0000 0.5000 0.0000
0.5000 0.5000 0.5000
0.0602 0.6720 0.7500
0.5000 0.0000 0.0000
0.3280 0.3882 0.7500
0.6118 0.9398 0.7500
0.6652 0.8326 0.0243
0.0602 0.3882 0.7500
0.1674 0.3348 0.4757
0.0000 0.5000 0.5000
0.1674 0.8326 0.0243
0.6720 0.6118 0.2500
0.3348 0.1674 0.9757
0.9398 0.3280 0.2500
0.8326 0.1674 0.9757
0.8326 0.6652 0.5243
0.3882 0.3280 0.2500
0.5000 0.0000 0.5000
0.5000 0.5000 0.0000
0.6667 0.3333 0.1066
0.6652 0.8326 0.4757
0.9398 0.6118 0.2500
0.3280 0.9398 0.7500
0.3333 0.6667 0.8934
0.3333 0.6667 0.6066
0.6118 0.6720 0.7500
0.1674 0.3348 0.0243
0.6720 0.0602 0.2500
0.3348 0.1674 0.5243
0.8326 0.6652 0.9757
0.3882 0.0602 0.2500
0.8345 0.6690 0.7500
0.8345 0.1655 0.7500
0.6690 0.8345 0.2500
0.1655 0.8345 0.2500
0.1655 0.3310 0.2500
0.3310 0.1655 0.7500
```

Output
The value obtained for the total energy is -389.52 eV/cell. The value obtained for the energy of formation from the pure elements is -0.0946 eV/atom. Its density of states at the Fermi level is 52.7 states/eV per cell. As for the energy above the lowest structure with this stoichiometry: 0.0070 eV per atom.

[5]
The following is a GGA-PBE calculation of a relaxed structure of PmTmPt, from Alexandria via LeMat-Bulk.

Cell and atoms, written as POSCAR:
```
PmTmPt
1.0
-2.9984 -0.3128 2.9561
-2.6037 -2.5228 -2.9080
3.0180 -2.1058 2.8385
Pm Pt Tm
1 1 1
direct
0.7171 0.6667 0.3333
0.0507 0.0000 0.0000
0.2322 0.3333 0.6667
```

Output
The value obtained for the total energy is -17.30 eV/cell. The value obtained for the energy of formation from the pure elements is -0.6792 eV/atom. Its density of states at the Fermi level is 2.7 states/eV per cell. As for the energy above the lowest structure with this stoichiometry: 0.2348 eV per atom.

[6]
The following is a GGA-PBE calculation of a relaxed structure of ZrTeMo, from Alexandria via LeMat-Bulk.

Cell and atoms, written as POSCAR:
```
ZrTeMo
1.0
7.0281 0.0040 -0.0030
6.0246 3.0644 -0.0095
1.0036 -0.8763 2.9323
Zr Mo Te
1 1 1
direct
0.6599 0.6599 0.3401
0.0016 0.0016 0.9984
0.3386 0.3386 0.6614
```

Output
The value obtained for the total energy is -21.91 eV/cell. The value obtained for the energy relative to the elements, uncorrected is 0.204 eV per atom. Its density of states at the Fermi level is 2.4 states/eV per cell. As for the energy above the lowest structure with this stoichiometry: 0.5873 eV per atom.

[7]
The following is a GGA-PBE calculation of a relaxed structure of NiHBr, from Alexandria via LeMat-Bulk.

Cell and atoms, written as POSCAR:
```
NiHBr
1.0
5.0875 0.0000 0.0000
0.0000 6.1540 0.0000
0.0000 0.0000 6.8768
H Br Ni
4 4 4
direct
0.0000 0.2500 0.3611
0.0000 0.7500 0.6389
0.5000 0.2500 0.6389
0.5000 0.7500 0.3611
0.0000 0.2500 0.7766
0.5000 0.2500 0.2234
0.5000 0.7500 0.7766
0.0000 0.7500 0.2234
0.7500 0.2500 0.5000
0.7500 0.7500 0.5000
0.2500 0.2500 0.5000
0.2500 0.7500 0.5000
```

Output
The value obtained for the total energy is -43.95 eV/cell. Its density of states at the Fermi level is 6.6 states/eV per cell. As for the energy above the lowest structure with this stoichiometry: 0.0119 eV per atom.

[8]
The following is a GGA-PBE calculation of a relaxed structure of La3HoTh, from Alexandria via LeMat-Bulk.

Cell and atoms, written as POSCAR:
```
La3HoTh
1.0
7.7735 -0.2380 -0.1779
0.2486 9.3236 -1.5255
0.2487 1.1706 9.3747
La Th Ho
12 4 4
direct
0.6278 0.4078 0.0920
0.3887 0.1160 0.0836
0.8887 0.0837 0.1160
0.1278 0.0920 0.4078
0.8722 0.9080 0.5922
0.1113 0.9163 0.8840
0.3722 0.5922 0.9080
0.6113 0.8840 0.9164
0.3887 0.4163 0.3839
0.8887 0.3839 0.4162
0.1113 0.6161 0.5838
0.6113 0.5837 0.6161
0.4117 0.8972 0.6030
0.5883 0.1028 0.3970
0.0883 0.3970 0.1028
0.9117 0.6030 0.8972
0.2500 0.7610 0.2390
0.7500 0.7388 0.2612
0.7500 0.2390 0.7610
0.2500 0.2612 0.7388
```

Output
The value obtained for the total energy is -103.96 eV/cell. The value obtained for the energy of formation from the pure elements is 0.1578 eV/atom. Its density of states at the Fermi level is 28.1 states/eV per cell. As for the energy above the lowest structure with this stoichiometry: 0.1347 eV per atom.

[9]
The following is a GGA-PBE calculation of a relaxed structure of Nd4Tm9In11, from Alexandria via LeMat-Bulk.

Cell and atoms, written as POSCAR:
```
Nd4Tm9In11
1.0
3.4330 0.0000 0.0000
0.0000 13.1662 -5.3546
0.0000 0.2504 14.2112
Nd Tm In
4 9 11
direct
0.5000 0.4040 0.2426
0.5000 0.2426 0.4040
0.5000 0.5960 0.7574
0.5000 0.7574 0.5960
0.5000 0.2033 0.0063
0.5000 0.6106 0.1682
0.5000 0.8318 0.3894
0.5000 0.7967 0.9937
0.5000 0.5000 0.5000
0.5000 0.9937 0.7967
0.5000 0.3894 0.8318
0.5000 0.0063 0.2033
0.5000 0.1682 0.6106
0.0000 0.4088 0.0371
0.0000 0.0371 0.4088
0.0000 0.5912 0.9629
0.0000 0.8063 0.8063
0.0000 0.9629 0.5912
0.0000 0.0000 0.0000
0.0000 0.1906 0.8094
0.0000 0.6217 0.3783
0.0000 0.1937 0.1937
0.0000 0.8094 0.1906
0.0000 0.3783 0.6217
```

Output
The value obtained for the total energy is -98.45 eV/cell. The value obtained for the energy of formation from the pure elements is -0.3757 eV/atom. Its density of states at the Fermi level is 20.4 states/eV per cell.

[10]
The following is a GGA-PBE calculation of a relaxed structure of Ce7Os2Ru2, from Alexandria via LeMat-Bulk.

Cell and atoms, written as POSCAR:
```
Ce7Os2Ru2
1.0
0.2106 -1.9125 -6.1432
-1.6833 -6.1699 2.6799
-6.0126 1.5608 1.6892
Ce Os Ru
7 2 2
direct
0.5146 0.2970 0.9963
0.4686 0.7395 0.5314
0.0000 0.0000 0.0000
0.5314 0.2605 0.4686
0.4854 0.7030 0.0037
0.9963 0.7030 0.5146
0.0037 0.2970 0.4854
0.1736 0.5000 0.1736
0.8264 0.5000 0.8264
0.7071 0.9541 0.2929
0.2929 0.0459 0.7071
```

Output
The value obtained for the total energy is -83.28 eV/cell. The value obtained for the energy of formation from the pure elements is -0.0669 eV/atom. Its density of states at the Fermi level is 24.7 states/eV per cell.

[11]
The following is a GGA-PBE calculation of a relaxed structure of K2CrAgCl, from Alexandria via LeMat-Bulk.

Cell and atoms, written as POSCAR:
```
K2CrAgCl
1.0
6.5907 0.0000 0.0000
0.0000 5.0202 0.0000
0.0000 0.0000 6.5907
K Cr Cl Ag
2 1 1 1
direct
0.5000 0.0000 0.0000
0.0000 0.0000 0.5000
0.5000 0.5000 0.5000
0.0000 0.5000 0.0000
0.0000 0.0000 0.0000
```

Output
The value obtained for the total energy is -14.85 eV/cell. The value obtained for the energy relative to the elements, uncorrected is 0.333 eV per atom. Its density of states at the Fermi level is 1.5 states/eV per cell.

[12]
The following is a GGA-PBE calculation of a relaxed structure of TiOs, from Alexandria via LeMat-Bulk.

Cell and atoms, written as POSCAR:
```
TiOs
1.0
-4.4901 -6.7031 -3.2507
3.8309 -0.9801 -3.2705
1.1413 -1.6531 1.8324
Os Ti
4 4
direct
0.5000 0.5000 0.5000
0.5000 0.0000 0.0000
0.0000 0.0000 0.5000
0.0000 0.5000 0.0000
0.7500 0.7500 0.7500
0.2500 0.7500 0.2500
0.7500 0.2500 0.2500
0.2500 0.2500 0.7500
```

Output
The value obtained for the total energy is -78.08 eV/cell. The value obtained for the energy of formation from the pure elements is -0.1976 eV/atom. Its density of states at the Fermi level is 12.1 states/eV per cell.